Material: Nd4HoHg3
Method: DFT, PBE
State: optimized geometry

## Properties
- N(E_F) (states/eV/atom) = 0.974
- formation energy (meV per atom) = -282
- electronic total energy (eV/cell) = -53.62

a = 5.7587 Å, b = 7.1676 Å, c = 11.1352 Å
α = 90.00°, β = 90.00°, γ = 90.00°
Positions (direct):
Nd 0.9022 0.7598 0.2500
Nd 0.9022 0.2402 0.2500
Nd 0.5000 0.2441 0.0000
Nd 0.5000 0.7559 0.5000
Nd 0.0978 0.7598 0.7500
Nd 0.5000 0.2441 0.5000
Nd 0.5000 0.7559 0.0000
Nd 0.0978 0.2402 0.7500
Hg 0.0000 0.0000 0.5000
Hg 0.3768 0.5000 0.2500
Hg 0.0000 0.0000 0.0000
Hg 0.3952 0.0000 0.2500
Hg 0.6232 0.5000 0.7500
Hg 0.6048 0.0000 0.7500
Ho 0.0000 0.5000 0.5000
Ho 0.0000 0.5000 0.0000